This record from the Alexandria database describes InCoOF2 after structural relaxation. The functional is GGA+U.

```
data_InCoOF2
_space_group_name_H-M_alt 'P 4/m m m'
_space_group_IT_number 123
_space_group_name_Hall '-P 4 2'
_cell_length_a 4.2880
_cell_length_b 4.2880
_cell_length_c 3.7040
_cell_angle_alpha 90.00
_cell_angle_beta 90.00
_cell_angle_gamma 90.00
loop_
_atom_site_label
_atom_site_fract_x
_atom_site_fract_y
_atom_site_fract_z
_atom_site_occupancy
In1 0.0000 0.0000 0.0000 1
Co1 0.5000 0.5000 0.5000 1
O1 0.5000 0.5000 0.0000 1
F1 0.0000 0.5000 0.5000 1
```

Calculated values
energy relative to the lowest polymorph listed for this composition	0.000	eV/atom
DOS at the Fermi energy	2.00	states/eV/f.u.
crystal system	tetragonal